A geometry-optimized AlHgAs3 structure, computed with PBE.

```
AlHgAs3
1.0
5.228 0.000 0.000
0.000 5.228 0.000
0.000 0.000 5.228
As Hg Al
3 1 1
Cartesian
0.000 2.614 0.000 As
0.000 0.000 2.614 As
2.614 0.000 0.000 As
0.000 0.000 0.000 Hg
2.614 2.614 2.614 Al
```

Properties
density of states at the Fermi level	8.87	states/eV per cell
calculated formation energy	1.1269	eV per atom
magnetization	0.000	Bohr magnetons per cell
relative energy among the computed polymorphs	2.87	eV/f.u.
space group	No. 221